(1)
First-principles (GGA-PBE) data for a geometry-optimized ZrUPt structure, as listed in Alexandria.

abc: 3.5335 3.5335 20.5897
angles: 90.00 90.00 90.00
Last column: nearest neighbours and their distance in Å.
Space group I4/mmm (No. 139)
Inequivalent atoms, fractional coordinates:
Zr: 0.0000 0.0000 0.1164 x4  4 Pt 2.73
U: 0.0000 0.0000 0.2734 x4  4 U 2.68
Pt: 0.0000 0.0000 0.4369 x4  1 Pt 2.60, 4 Zr 2.73

E_tot: -108.2 eV for the cell shown
M_tot: 0.000 μB/atom
E_form: -0.39 eV per atom
D(E_F): 5.2 states/eV/f.u.

***

(2)
First-principles (GGA-PBE) data for a geometry-optimized SiGeN structure, as listed in Alexandria.

abc: 7.6317 2.8534 9.4650
angles: 90.00 90.00 90.00
Last column: nearest neighbours and their distance in Å.
Space group Amm2 (No. 38)
Inequivalent atoms, fractional coordinates:
Si: 0.1609 0.0000 0.0000 x4  2 N 1.74
Ge: 0.3292 0.0000 0.7765 x4  1 N 1.93
N: 0.2262 0.0000 0.5908 x4  2 Si 1.74, 1 Ge 1.93

E_tot: -75.0 eV for the cell shown
M_tot: 0.000 μB/atom
polymorph energy (0 for the lowest one): 0.96 eV per formula unit
energy relative to the elements, uncorrected: -132 meV per atom
D(E_F): 0.3 states/eV/f.u.

***

(3)
First-principles (GGA-PBE) data for a geometry-optimized V2BPdC structure, as listed in Alexandria.

abc: 4.3430 4.3430 2.9418
angles: 90.00 90.00 90.00
Last column: nearest neighbours and their distance in Å.
Space group P4/mmm (No. 123)
Inequivalent atoms, fractional coordinates:
V: 0.0000 0.5000 0.0000 x2  2 C 2.17
B: 0.0000 0.0000 0.5000 x1  2 C 1.47
Pd: 0.5000 0.5000 0.5000 x1  8 V 2.62
C: 0.0000 0.0000 0.0000 x1  2 B 1.47

E_tot: -39.1 eV for the cell shown
M_tot: 0.101 μB/atom
E_form: 0.06 eV per atom
D(E_F): 4.9 states/eV/f.u.

***

(4)
First-principles (GGA-PBE) data for a geometry-optimized Tm6TeC2Se3 structure, as listed in Alexandria.

abc: 17.3017 3.8283 8.0214
angles: 90.00 103.05 90.00
Last column: nearest neighbours and their distance in Å.
Space group C2/m (No. 12)
Inequivalent atoms, fractional coordinates:
Tm: 0.0320 0.0000 0.2826 x4  1 C 2.38
Tm: 0.1788 0.5000 0.1398 x4  2 C 2.52, 1 Se 2.77
Tm: 0.1803 0.5000 0.5617 x4  3 C 2.48-2.59
Te: 0.0000 0.5000 0.0000 x2  6 Tm 2.92-3.04
C: 0.1729 0.0000 0.3417 x4  6 Tm 2.38-2.59
Se: 0.0000 0.5000 0.5000 x2  6 Tm 2.73-3.05
Se: 0.1590 0.0000 0.8354 x4  5 Tm 2.77-3.06

E_tot: -148.1 eV for the cell shown
M_tot: 0.000 μB/atom
energy relative to the elements, uncorrected: -1263 meV per atom
D(E_F): 4.2 states/eV/f.u.

***

(5)
First-principles (GGA-PBE) data for a geometry-optimized SrDyEr structure, as listed in Alexandria.

abc: 3.7108 3.7108 15.9926
angles: 90.00 90.00 90.00
Last column: nearest neighbours and their distance in Å.
Space group I4mm (No. 107)
Inequivalent atoms, fractional coordinates:
Sr: 0.0000 0.0000 0.0000 x2  4 Sr 3.71, 4 Er 3.90, 4 Dy 3.91
Dy: 0.0000 0.0000 0.3186 x2  4 Er 3.43, 4 Dy 3.71
Er: 0.0000 0.0000 0.6804 x2  4 Dy 3.43, 4 Er 3.71

E_tot: -20.8 eV for the cell shown
M_tot: 0.000 μB/atom
polymorph energy (0 for the lowest one): 0.00 eV per formula unit
E_form: 0.14 eV per atom
D(E_F): 4.7 states/eV/f.u.

***

(6)
First-principles (GGA-PBE) data for a geometry-optimized Hf2TiI structure, as listed in Alexandria.

abc: 4.1983 4.1983 20.7216
angles: 90.00 90.00 90.00
Last column: nearest neighbours and their distance in Å.
Space group I-42d (No. 122)
Inequivalent atoms, fractional coordinates:
Hf: 0.2471 0.2500 0.1250 x8  4 Hf 2.95-2.99, 2 Ti 2.98, 2 I 2.99
Ti: 0.0000 0.0000 0.0000 x4  4 I 2.97, 4 Hf 2.98
I: 0.0000 0.0000 0.5000 x4  4 Ti 2.97, 4 Hf 2.99

E_tot: -108.5 eV for the cell shown
M_tot: 0.000 μB/atom
polymorph energy (0 for the lowest one): 0.11 eV per formula unit
energy relative to the elements, uncorrected: 559 meV per atom
D(E_F): 5.8 states/eV/f.u.